Entry 1:
# HfCd2ReB | Alexandria | PBE-GGA | relaxed
data_HfCd2ReB
_symmetry_space_group_name_H-M 'P 4/m m m'
_symmetry_Int_Tables_number 123
_symmetry_space_group_name_Hall '-P 4 2'
_cell_length_a 4.450
_cell_length_b 4.450
_cell_length_c 4.338
_cell_angle_alpha 90.00
_cell_angle_beta 90.00
_cell_angle_gamma 90.00
loop_
_atom_site_label
_atom_site_type_symbol
_atom_site_fract_x
_atom_site_fract_y
_atom_site_fract_z
Hf1 Hf 0.000 0.000 0.000
Cd1 Cd 0.000 0.500 0.500
Re1 Re 0.500 0.500 0.000
B1 B 0.500 0.500 0.500
# uncorrected energy: -5.57 eV/atom
# ΔH_f (0 K): 0.61 eV/atom
# total magnetic moment: 0.00 μB per atom

***

Entry 2:
# Ac2PrCo2 | Alexandria | PBE-GGA | relaxed
data_Ac2PrCo2
_symmetry_space_group_name_H-M 'C m m m'
_symmetry_Int_Tables_number 65
_symmetry_space_group_name_Hall '-C 2 2'
_cell_length_a 4.096
_cell_length_b 16.242
_cell_length_c 4.252
_cell_angle_alpha 90.00
_cell_angle_beta 90.00
_cell_angle_gamma 90.00
loop_
_atom_site_label
_atom_site_type_symbol
_atom_site_fract_x
_atom_site_fract_y
_atom_site_fract_z
Ac1 Ac 0.000 0.147 0.000
Pr1 Pr 0.000 0.500 0.500
Co1 Co 0.000 0.282 0.500
# uncorrected energy: -5.40 eV/atom
# ΔH_f (0 K): 0.04 eV/atom
# total magnetic moment: 0.29 μB per atom

***

Entry 3:
# Tl2InCuS4 | Alexandria | PBE-GGA | relaxed
data_Tl2InCuS4
_symmetry_space_group_name_H-M 'I -4'
_symmetry_Int_Tables_number 82
_cell_length_a 6.193
_cell_length_b 6.193
_cell_length_c 11.417
_cell_angle_alpha 90.00
_cell_angle_beta 90.00
_cell_angle_gamma 90.00
loop_
_symmetry_equiv_pos_as_xyz
'x,y,z'
'y,-x,-z'
'-x,-y,z'
'-y,x,-z'
'x+1/2,y+1/2,z+1/2'
'y+1/2,-x+1/2,-z+1/2'
'-x+1/2,-y+1/2,z+1/2'
'-y+1/2,x+1/2,-z+1/2'
loop_
_atom_site_label
_atom_site_type_symbol
_atom_site_fract_x
_atom_site_fract_y
_atom_site_fract_z
Tl1 Tl 0.000 0.000 0.000
Tl2 Tl 0.000 0.500 0.250
In1 In 0.000 0.000 0.500
Cu1 Cu 0.000 0.500 0.750
S1 S 0.193 0.754 0.641
# uncorrected energy: -3.79 eV/atom
# uncorrected formation energy: -2.2 eV/f.u.
# total magnetic moment: 0.00 μB per atom